Material: Ba2GeBr
Method: DFT, PBE-GGA
State: relaxed

a = 4.618 Å, b = 4.618 Å, c = 9.155 Å
α = 75.39°, β = 75.39°, γ = 60.00°
Element x y z (fractional)
Ba 0.076 0.076 0.771
Ba 0.258 0.258 0.225
Ge 0.667 0.667 0.998
Br 0.498 0.498 0.505

Computed properties:
Its energy relative to the elements, uncorrected is -1050.6 meV/atom. As for the calculated total energy: -3.585 eV per atom. The calculation puts the energy above the most stable polymorph in this dataset at 0.11 eV per formula unit. Its space-group type is No. 160.

Material: Ba4GeBr5
Method: DFT, PBE-GGA
State: relaxed

a = 4.998 Å, b = 8.950 Å, c = 10.758 Å
α = 114.60°, β = 103.43°, γ = 90.00°
Each line ends with the local moment (μB).
Element x y z (fractional)
Ba 0.314 0.815 0.628  0.00
Ba 0.000 0.756 0.000  0.06
Ba 0.686 0.185 0.372  0.00
Ba 0.000 0.244 0.000  0.06
Ge 0.500 0.000 0.000  0.30
Br 0.827 0.581 0.653  0.00
Br 0.827 0.073 0.654  0.00
Br 0.173 0.927 0.346  0.00
Br 0.500 0.500 0.000  0.01
Br 0.173 0.419 0.347  0.00

Computed properties:
Its energy relative to the elements, uncorrected is -1733.5 meV/atom. As for the calculated total energy: -3.801 eV per atom. The calculation puts the energy above the most stable polymorph in this dataset at 0.00 eV per formula unit. Its space-group type is No. 12.

Material: Ba2GeBr
Method: DFT, PBE-GGA
State: relaxed

a = 3.979 Å, b = 3.979 Å, c = 8.774 Å
α = 90.00°, β = 90.00°, γ = 90.00°
Element x y z (fractional)
Ge 0.500 0.500 0.000
Ba 0.000 0.000 0.773
Ba 0.000 0.000 0.227
Br 0.500 0.500 0.500

Computed properties:
Its energy relative to the elements, uncorrected is -1063.8 meV/atom. As for the calculated total energy: -3.598 eV per atom. The calculation puts the energy above the most stable polymorph in this dataset at 0.06 eV per formula unit. Its space-group type is No. 123.

Material: Ba2GeBr2
Method: DFT, PBE-GGA
State: relaxed

a = 9.382 Å, b = 9.382 Å, c = 3.929 Å
α = 90.00°, β = 90.00°, γ = 90.00°
Element x y z (fractional)
Ge 0.000 0.000 0.000
Ge 0.500 0.500 0.000
Ba 0.181 0.681 0.500
Ba 0.681 0.819 0.500
Ba 0.819 0.319 0.500
Ba 0.319 0.181 0.500
Br 0.378 0.878 0.000
Br 0.878 0.622 0.000
Br 0.622 0.122 0.000
Br 0.122 0.378 0.000

Computed properties:
Its energy relative to the elements, uncorrected is -1085.5 meV/atom. As for the calculated total energy: -3.447 eV per atom. The calculation puts the energy above the most stable polymorph in this dataset at 0.24 eV per formula unit. Its space-group type is No. 127.

Material: Ba4GeBr4
Method: DFT, PBE-GGA
State: relaxed

a = 4.859 Å, b = 8.544 Å, c = 10.708 Å
α = 75.54°, β = 76.89°, γ = 73.48°
Element x y z (fractional)
Ba 0.303 0.116 0.278
Ba 0.697 0.884 0.722
Ba 0.921 0.264 0.895
Ba 0.079 0.736 0.105
Ge 0.500 0.000 0.000
Br 0.704 0.405 0.187
Br 0.874 0.854 0.397
Br 0.296 0.595 0.813
Br 0.126 0.146 0.603

Computed properties:
Its energy relative to the elements, uncorrected is -1657.8 meV/atom. As for the calculated total energy: -3.769 eV per atom. Its space-group type is No. 12.

Material: Ba2GeBr
Method: DFT, PBE-GGA
State: relaxed

a = 6.766 Å, b = 6.764 Å, c = 13.942 Å
α = 89.99°, β = 90.00°, γ = 90.00°
Each line ends with the local moment (μB).
Element x y z (fractional)
Ba 0.748 0.000 0.866  0.04
Ba 0.252 0.000 0.134  0.04
Ba 0.748 0.500 0.634  0.04
Ba 0.252 0.500 0.366  0.04
Ba 0.752 0.500 0.116  0.04
Ba 0.248 0.500 0.884  0.04
Ba 0.752 0.000 0.384  0.04
Ba 0.248 0.000 0.616  0.04
Ge 0.253 0.000 0.375  0.19
Ge 0.747 0.000 0.625  0.19
Ge 0.253 0.500 0.125  0.19
Ge 0.747 0.500 0.875  0.19
Br 0.248 0.500 0.625  0.00
Br 0.752 0.500 0.375  0.00
Br 0.248 0.000 0.875  0.00
Br 0.752 0.000 0.125  0.00

Computed properties:
Its energy relative to the elements, uncorrected is -1079.2 meV/atom. As for the calculated total energy: -3.613 eV per atom. The calculation puts the energy above the most stable polymorph in this dataset at 0.00 eV per formula unit. Its space-group type is No. 53.